DFT (PBE) results for a relaxed structure of Sr3Ca2Cd.

Lattice parameters (Å, degrees): 5.8433 17.8014 9.9100 90.00 90.00 90.00
Space group Cmmm (No. 65)
Asymmetric unit:
Sr1 0.0000 0.0000 0.2325 [4 per cell]
Sr2 0.0000 0.3250 0.2063 [8 per cell]
Ca1 0.0000 0.1690 0.5000 [4 per cell]
Ca2 0.0000 0.5000 0.0000 [2 per cell]
Ca3 0.0000 0.5000 0.5000 [2 per cell]
Cd1 0.0000 0.1469 0.0000 [4 per cell]

## Properties
- DFT formation energy: -0.076 eV per atom
- Total moment: 0.00 Bohr magnetons per cell
- VASP energy: -1.737 eV per atom